No. 1
Compound: Li2MnPd
Source: Alexandria
Functional: GGA-PBE
Structure: optimized geometry

Values from the calculation:
Formation energy = -0.090 eV/atom

The structure in CIF format:
```
data_Li2MnPd
_chemical_formula_sum 'Li2 Mn1 Pd1'
_space_group_name_H-M_alt 'P 4/m m m'
_space_group_IT_number 123
_space_group_name_Hall '-P 4 2'
_cell_length_a 3.779
_cell_length_b 3.779
_cell_length_c 4.157
_cell_angle_alpha 90.00
_cell_angle_beta 90.00
_cell_angle_gamma 90.00
loop_
_atom_site_label
_atom_site_type_symbol
_atom_site_fract_x
_atom_site_fract_y
_atom_site_fract_z
Li1 Li 0.000 0.500 0.000
Mn1 Mn 0.000 0.000 0.500
Pd1 Pd 0.500 0.500 0.500
```

No. 2
Compound: HfSnS6
Source: Alexandria
Functional: GGA-PBE
Structure: optimized geometry

The structure in CIF format:
```
data_HfSnS6
_chemical_formula_sum 'Hf4 Sn4 S24'
_space_group_name_H-M_alt 'F m -3 m'
_space_group_IT_number 225
_space_group_name_Hall '-F 4 2 3'
_cell_length_a 9.952
_cell_length_b 9.952
_cell_length_c 9.952
_cell_angle_alpha 90.00
_cell_angle_beta 90.00
_cell_angle_gamma 90.00
loop_
_atom_site_label
_atom_site_type_symbol
_atom_site_fract_x
_atom_site_fract_y
_atom_site_fract_z
Hf1 Hf 0.000 0.000 0.000
Sn1 Sn 0.000 0.000 0.500
S1 S 0.000 0.000 0.248
```

No. 3
Compound: AcBeN2
Source: Alexandria
Functional: GGA-PBE
Structure: optimized geometry

The structure in CIF format:
```
data_AcBeN2
_chemical_formula_sum 'Ac3 Be3 N6'
_space_group_name_H-M_alt 'R -3 m'
_space_group_IT_number 166
_space_group_name_Hall '-R 3 2"'
_cell_length_a 4.0497
_cell_length_b 4.0497
_cell_length_c 16.1979
_cell_angle_alpha 90.00
_cell_angle_beta 90.00
_cell_angle_gamma 120.00
loop_
_atom_site_label
_atom_site_type_symbol
_atom_site_fract_x
_atom_site_fract_y
_atom_site_fract_z
Ac1 Ac 0.0000 0.0000 0.0000
Be1 Be 0.0000 0.0000 0.5000
N1 N 0.0000 0.0000 0.4058
```

No. 4
Compound: Ti3SnAs
Source: Alexandria
Functional: GGA-PBE
Structure: optimized geometry

Values from the calculation:
Energy above the lowest structure with this stoichiometry = 1220 meV per atom
Formation energy = 0.935 eV/atom

The structure in CIF format:
```
data_Ti3SnAs
_chemical_formula_sum 'Ti3 Sn1 As1'
_space_group_name_H-M_alt 'P m -3 m'
_space_group_IT_number 221
_space_group_name_Hall '-P 4 2 3'
_cell_length_a 5.061
_cell_length_b 5.061
_cell_length_c 5.061
_cell_angle_alpha 90.00
_cell_angle_beta 90.00
_cell_angle_gamma 90.00
loop_
_atom_site_label
_atom_site_type_symbol
_atom_site_fract_x
_atom_site_fract_y
_atom_site_fract_z
Ti1 Ti 0.000 0.000 0.500
Sn1 Sn 0.000 0.000 0.000
As1 As 0.500 0.500 0.500
```

No. 5
Compound: MgRh3C
Source: Alexandria
Functional: GGA-PBE
Structure: optimized geometry

Values from the calculation:
Formation energy = 0.633 eV/atom

The structure in CIF format:
```
data_MgRh3C
_chemical_formula_sum 'Mg1 Rh3 C1'
_space_group_name_H-M_alt 'P 4 m m'
_space_group_IT_number 99
_space_group_name_Hall 'P 4 -2'
_cell_length_a 3.967
_cell_length_b 3.967
_cell_length_c 6.326
_cell_angle_alpha 90.00
_cell_angle_beta 90.00
_cell_angle_gamma 90.00
loop_
_atom_site_label
_atom_site_type_symbol
_atom_site_fract_x
_atom_site_fract_y
_atom_site_fract_z
Mg1 Mg 0.000 0.000 0.000
Rh1 Rh 0.000 0.000 0.589
Rh2 Rh 0.000 0.500 0.306
C1 C 0.500 0.500 0.306
```

No. 6
Compound: MgZr3Re
Source: Alexandria
Functional: GGA-PBE
Structure: optimized geometry

Values from the calculation:
Energy above the lowest structure with this stoichiometry = 0 meV per atom
Formation energy = 0.496 eV/atom

The structure in CIF format:
```
data_MgZr3Re
_chemical_formula_sum 'Mg1 Zr3 Re1'
_space_group_name_H-M_alt 'P m -3 m'
_space_group_IT_number 221
_space_group_name_Hall '-P 4 2 3'
_cell_length_a 5.108
_cell_length_b 5.108
_cell_length_c 5.108
_cell_angle_alpha 90.00
_cell_angle_beta 90.00
_cell_angle_gamma 90.00
loop_
_atom_site_label
_atom_site_type_symbol
_atom_site_fract_x
_atom_site_fract_y
_atom_site_fract_z
Mg1 Mg 0.000 0.000 0.000
Zr1 Zr 0.000 0.500 0.500
Re1 Re 0.500 0.500 0.500
```

No. 7
Compound: LaGdPt2
Source: Alexandria
Functional: GGA-PBE
Structure: optimized geometry

Values from the calculation:
Energy above the lowest structure with this stoichiometry = 0 meV per atom
Formation energy = -1.116 eV/atom

The structure in CIF format:
```
data_LaGdPt2
_chemical_formula_sum 'La1 Gd1 Pt2'
_space_group_name_H-M_alt 'P 4/m m m'
_space_group_IT_number 123
_space_group_name_Hall '-P 4 2'
_cell_length_a 3.586
_cell_length_b 3.586
_cell_length_c 7.219
_cell_angle_alpha 90.00
_cell_angle_beta 90.00
_cell_angle_gamma 90.00
loop_
_atom_site_label
_atom_site_type_symbol
_atom_site_fract_x
_atom_site_fract_y
_atom_site_fract_z
La1 La 0.000 0.000 0.000
Gd1 Gd 0.000 0.000 0.500
Pt1 Pt 0.500 0.500 0.267
```

No. 8
Compound: PuTeI
Source: Alexandria
Functional: GGA-PBE
Structure: optimized geometry

Values from the calculation:
Energy above the lowest structure with this stoichiometry = 68 meV per atom

The structure in CIF format:
```
data_PuTeI
_chemical_formula_sum 'Pu1 Te1 I1'
_space_group_name_H-M_alt 'P 3 m 1'
_space_group_IT_number 156
_space_group_name_Hall 'P 3 -2"'
_cell_length_a 4.4389
_cell_length_b 4.4389
_cell_length_c 7.2828
_cell_angle_alpha 90.00
_cell_angle_beta 90.00
_cell_angle_gamma 120.00
loop_
_atom_site_label
_atom_site_type_symbol
_atom_site_fract_x
_atom_site_fract_y
_atom_site_fract_z
Pu1 Pu 0.0000 0.0000 0.0000
Te1 Te 0.3333 0.6667 0.7741
I1 I 0.6667 0.3333 0.2630
```

Number 1: total magnetic moment 4.28 μB per formula unit, DFT total energy -18.55 eV per cell. Number 2: total magnetic moment 0.02 μB per formula unit, DFT total energy -153.16 eV per cell. Number 3: total magnetic moment 1.02 μB per formula unit, DFT total energy -80.77 eV per cell. Number 4: total magnetic moment 4.86 μB per formula unit, DFT total energy -27.66 eV per cell. Number 5: total magnetic moment 1.53 μB per formula unit, DFT total energy -29.71 eV per cell. Number 6: total magnetic moment 0.14 μB per formula unit, DFT total energy -37.21 eV per cell. Number 7: total magnetic moment 7.12 μB per formula unit, DFT total energy -35.55 eV per cell. Number 8: total magnetic moment 5.00 μB per formula unit, DFT total energy -21.95 eV per cell.